[1]
The following is a DFT calculation (PBE) of an optimized crystal structure of LiMgScRu.

Summary:
The value obtained for the electronic total energy is -0.18260 hartree per atom. The calculated formation energy is -0.190 eV/atom. As for the space group: No. 216.

a = 4.5754 Å, b = 4.5754 Å, c = 4.5754 Å
α = 60.00°, β = 60.00°, γ = 60.00°
Last column: nearest neighbours and their distance in Å.
Fractional positions:
Li: 0.0000 0.0000 0.0000  4 Sc 2.80, 4 Mg 2.80
Mg: 0.2500 0.2500 0.2500  4 Ru 2.80, 4 Li 2.80
Sc: 0.7500 0.7500 0.7500  4 Li 2.80, 4 Ru 2.80
Ru: 0.5000 0.5000 0.5000  4 Sc 2.80, 4 Mg 2.80

***

[2]
The following is a DFT calculation (PBE) of an optimized crystal structure of LiMgSc2Ru.

Summary:
The value obtained for the electronic total energy is -0.17037 hartree per atom. The calculated formation energy is 0.453 eV/atom. As for the space group: No. 123.

a = 4.8595 Å, b = 4.8595 Å, c = 4.1416 Å
α = 90.00°, β = 90.00°, γ = 90.00°
Last column: nearest neighbours and their distance in Å.
Fractional positions:
Li: 0.0000 0.0000 0.0000  2 Ru 2.07
Mg: 0.5000 0.5000 0.5000  8 Sc 3.19, 4 Ru 3.44
Sc: 0.0000 0.5000 0.0000  2 Li 2.43
Sc: 0.5000 0.0000 0.0000  2 Li 2.43
Ru: 0.0000 0.0000 0.5000  2 Li 2.07

***

[3]
The following is a DFT calculation (PBE) of an optimized crystal structure of LiMg2TaRu.

Summary:
The value obtained for the electronic total energy is -0.15554 hartree per atom. The calculated formation energy is 1.014 eV/atom. As for the space group: No. 123.

a = 4.2232 Å, b = 4.2232 Å, c = 4.7533 Å
α = 90.00°, β = 90.00°, γ = 90.00°
Last column: nearest neighbours and their distance in Å.
Fractional positions:
Li: 0.0000 0.0000 0.0000  4 Mg 2.11
Mg: 0.0000 0.5000 0.0000  2 Li 2.11
Mg: 0.5000 0.0000 0.0000  2 Li 2.11
Ta: 0.0000 0.0000 0.5000  2 Li 2.38
Ru: 0.5000 0.5000 0.5000  4 Ta 2.99, 8 Mg 3.18